No. 1
Below is a geometry-optimized AlTlPt2 structure, with properties calculated at the GGA-PBE level.

DFT formation energy: -0.283 eV/atom
Relative energy among the computed polymorphs: 0.244 eV/atom

Cell and atoms, written as CIF:
```
data_AlTlPt2
_cell_length_a 3.314
_cell_length_b 3.604
_cell_length_c 6.094
_cell_angle_alpha 90.00
_cell_angle_beta 90.00
_cell_angle_gamma 90.00
_symmetry_space_group_name_H-M 'P 1'
_symmetry_Int_Tables_number 1
loop_
_symmetry_equiv_pos_as_xyz
'x,y,z'
loop_
_atom_site_label
_atom_site_type_symbol
_atom_site_fract_x
_atom_site_fract_y
_atom_site_fract_z
Al1 Al 0.000 0.000 0.000
Tl1 Tl 0.500 0.500 0.355
Pt1 Pt 0.000 0.000 0.587
Pt2 Pt 0.500 0.500 0.882
```

***

No. 2
Below is a geometry-optimized Rb2CoRhCl structure, with properties calculated at the GGA-PBE level.

Cell and atoms, written as CIF:
```
data_Rb2CoRhCl
_cell_length_a 6.614
_cell_length_b 6.614
_cell_length_c 4.447
_cell_angle_alpha 90.00
_cell_angle_beta 90.00
_cell_angle_gamma 90.00
_symmetry_space_group_name_H-M 'P 1'
_symmetry_Int_Tables_number 1
loop_
_symmetry_equiv_pos_as_xyz
'x,y,z'
loop_
_atom_site_label
_atom_site_type_symbol
_atom_site_fract_x
_atom_site_fract_y
_atom_site_fract_z
Rb1 Rb 0.000 0.500 0.000
Rb2 Rb 0.500 0.000 0.000
Co1 Co 0.000 0.000 0.500
Rh1 Rh 0.500 0.500 0.000
Cl1 Cl 0.500 0.500 0.500
```

***

For the records above, the corresponding uncorrected energy values read -4.830; -3.133 eV per atom.
For the records above, the corresponding magnetization values read 0.00; 2.09 μB per cell.